*one*
A relaxed structure of BaPm2, computed with PBE.

## Properties
The crystal system is cubic. Its space group is Fd-3m.

Cell lengths 7.1640, 7.1640, 7.1640 Å; angles 60.00, 60.00, 60.00 degrees
Last column: nearest neighbours and their distance in Å.
Fractional coordinates of all 6 atoms:
Pm: 0.6250 0.1250 0.6250  6 Pm 3.58
Pm: 0.6250 0.6250 0.1250  6 Pm 3.58
Pm: 0.1250 0.6250 0.6250  6 Pm 3.58
Pm: 0.6250 0.6250 0.6250  6 Pm 3.58
Ba: 0.0000 0.0000 0.0000  12 Pm 4.20, 4 Ba 4.39
Ba: 0.2500 0.2500 0.2500  12 Pm 4.20, 4 Ba 4.39

***

*two*
A relaxed structure of BaPm2, computed with PBE.

## Properties
The crystal system is cubic. Its space group is Fd-3m.

Cell lengths 9.5199, 9.5199, 9.5199 Å; angles 60.00, 60.00, 60.00 degrees
Last column: nearest neighbours and their distance in Å.
Fractional coordinates of all 6 atoms:
Ba: 0.5000 0.5000 0.5000  4 Pm 2.91
Ba: 0.2500 0.2500 0.2500  4 Pm 2.91
Pm: 0.3750 0.8750 0.3750  2 Ba 2.91
Pm: 0.3750 0.3750 0.3750  2 Ba 2.91
Pm: 0.3750 0.3750 0.8750  2 Ba 2.91
Pm: 0.8750 0.3750 0.3750  2 Ba 2.91

***

The most stable of them is *one*.

***

*one*
A relaxed structure of BaPm, computed with PBE.

## Properties
The crystal system is cubic. Its space group is Fm-3m.

Cell lengths 5.0403, 5.0403, 5.0403 Å; angles 60.00, 60.00, 60.00 degrees
Last column: nearest neighbours and their distance in Å.
Fractional coordinates of all 2 atoms:
Ba: 0.0000 0.0000 0.0000  6 Pm 3.56
Pm: 0.5000 0.5000 0.5000  6 Ba 3.56

***

*two*
A relaxed structure of BaPm, computed with PBE.

## Properties
The crystal system is cubic. Its space group is F-43m.

Cell lengths 4.9319, 4.9319, 4.9319 Å; angles 60.00, 60.00, 60.00 degrees
Last column: nearest neighbours and their distance in Å.
Fractional coordinates of all 2 atoms:
Ba: 0.0000 0.0000 0.0000  4 Pm 3.02
Pm: 0.2500 0.2500 0.2500  4 Ba 3.02

***

The most stable of them is *one*.